VASP calculation (PBE-GGA) on Er2Sn3Pd4 after structural relaxation.

Properties
- formation energy (eV/atom) = -0.7499
- total magnetic moment (μB per cell) = 0.00
- uncorrected energy (eV/cell) = -97.31

a = 6.0348 Å, b = 7.4808 Å, c = 8.7714 Å
α = 90.00°, β = 110.12°, γ = 90.00°
Positions (direct):
Er (0.1010, 0.5938, 0.2021)
Er (0.8990, 0.4062, 0.7979)
Er (0.3990, 0.0938, 0.7979)
Er (0.6010, 0.9062, 0.2021)
Sn (0.0000, 0.0000, 0.0000)
Sn (0.5000, 0.5000, 0.0000)
Sn (0.5121, 0.7500, 0.5241)
Sn (0.9879, 0.2500, 0.4759)
Sn (0.4879, 0.2500, 0.4759)
Sn (0.0121, 0.7500, 0.5241)
Pd (0.6810, 0.7500, 0.8621)
Pd (0.8190, 0.2500, 0.1379)
Pd (0.3190, 0.2500, 0.1379)
Pd (0.1810, 0.7500, 0.8621)
Pd (0.1651, 0.9775, 0.3302)
Pd (0.8349, 0.0225, 0.6698)
Pd (0.3349, 0.4775, 0.6698)
Pd (0.6651, 0.5225, 0.3302)